--- i ---
Ga2Co2Hg | PBE | optimized geometry

Lattice parameters (Å, degrees): 7.032 7.032 2.891 90.00 90.00 90.00
Element x y z (fractional)
Ga: 0.150 0.350 0.000
Ga: 0.350 0.850 0.000
Ga: 0.650 0.150 0.000
Ga: 0.850 0.650 0.000
Co: 0.143 0.643 0.500
Co: 0.357 0.143 0.500
Co: 0.643 0.857 0.500
Co: 0.857 0.357 0.500
Hg: 0.000 0.000 0.500
Hg: 0.500 0.500 0.500

Summary:
- SG: P4/mbm



--- ii ---
Ga2Co2Hg | PBE | optimized geometry

Lattice parameters (Å, degrees): 7.125 7.125 2.796 90.00 90.00 90.00
Element x y z (fractional)
Ga: 0.136 0.364 0.000
Ga: 0.364 0.864 0.000
Ga: 0.636 0.136 0.000
Ga: 0.864 0.636 0.000
Co: 0.157 0.657 0.500
Co: 0.343 0.157 0.500
Co: 0.657 0.843 0.500
Co: 0.843 0.343 0.500
Hg: 0.000 0.000 0.000
Hg: 0.500 0.500 0.000

Summary:
- SG: P4/mbm



The most stable of them is i.